HfWS2Cl | PBE | optimized geometry

The space group is No. 123. As for the volume: 23.821 A^3/atom. The calculation puts the final energy at -6.257 eV/atom. The value obtained for the formation energy from raw total energies is 344.7 meV/atom. The relative energy among the computed polymorphs comes out at 0.000 eV/atom.

Geometry as extended XYZ:
```
5
Lattice="4.963 0.000 0.000 0.000 4.963 0.000 0.000 0.000 4.836" Properties=species:S:1:pos:R:3 pbc="T T T"
S 2.481 0.000 0.000
S 0.000 2.481 0.000
Hf 0.000 0.000 0.000
Cl 0.000 0.000 2.418
W 2.481 2.481 2.418
```

***

HfWS2Cl | PBE | optimized geometry

The space group is No. 123. As for the volume: 20.626 A^3/atom. The calculation puts the final energy at -6.204 eV/atom. The value obtained for the formation energy from raw total energies is 397.7 meV/atom. The relative energy among the computed polymorphs comes out at 0.053 eV/atom.

Geometry as extended XYZ:
```
5
Lattice="4.674 0.000 0.000 0.000 4.674 0.000 0.000 0.000 4.722" Properties=species:S:1:pos:R:3 pbc="T T T"
Hf 2.337 2.337 2.361
S 2.337 0.000 0.000
S 0.000 2.337 0.000
W 0.000 0.000 0.000
Cl 0.000 0.000 2.361
```

***

HfWSCl2 | PBE | optimized geometry

The space group is No. 123. As for the volume: 24.474 A^3/atom. The calculation puts the final energy at -5.800 eV/atom. The value obtained for the formation energy from raw total energies is 345.4 meV/atom. The relative energy among the computed polymorphs comes out at 0.000 eV/atom.

Geometry as extended XYZ:
```
5
Lattice="-4.078 -2.533 1.169 1.214 0.252 4.783 -2.547 4.296 0.420" Properties=species:S:1:pos:R:3 pbc="T T T"
Cl -2.039 -1.267 0.584
Cl 0.607 0.126 2.392
S -1.274 2.148 0.210
Hf 0.000 0.000 0.000
W -2.706 1.007 3.186
```

***

HfWSCl2 | PBE | optimized geometry

The space group is No. 123. As for the volume: 21.409 A^3/atom. The calculation puts the final energy at -5.553 eV/atom. The value obtained for the formation energy from raw total energies is 592.5 meV/atom. The relative energy among the computed polymorphs comes out at 0.247 eV/atom.

Geometry as extended XYZ:
```
5
Lattice="-0.060 4.463 1.767 -0.283 -1.767 4.454 4.637 -0.047 0.276" Properties=species:S:1:pos:R:3 pbc="T T T"
S 2.318 -0.024 0.138
Cl -0.030 2.232 0.883
Cl -0.142 -0.884 2.227
Hf 2.147 1.324 3.249
W 0.000 0.000 0.000
```

***

YHfS2Cl | PBE | optimized geometry

The space group is No. 123. As for the volume: 27.250 A^3/atom. The calculation puts the final energy at -5.773 eV/atom. The value obtained for the formation energy from raw total energies is -469.2 meV/atom. The relative energy among the computed polymorphs comes out at 0.599 eV/atom.

Geometry as extended XYZ:
```
5
Lattice="5.225 0.000 0.000 0.000 5.225 0.000 0.000 0.000 4.990" Properties=species:S:1:pos:R:3 pbc="T T T"
S 2.613 0.000 0.000
S 0.000 2.613 0.000
Cl 0.000 0.000 2.495
Y 0.000 0.000 0.000
Hf 2.613 2.613 2.495
```

***

YHfS2Cl | PBE | optimized geometry

The space group is No. 123. As for the volume: 23.292 A^3/atom. The calculation puts the final energy at -6.372 eV/atom. The value obtained for the formation energy from raw total energies is -1068.6 meV/atom. The relative energy among the computed polymorphs comes out at 0.000 eV/atom.

Geometry as extended XYZ:
```
5
Lattice="-4.021 1.300 2.546 -2.622 -3.427 -2.392 1.104 -3.203 3.379" Properties=species:S:1:pos:R:3 pbc="T T T"
Y -2.770 -2.665 1.766
Cl 0.552 -1.601 1.689
S -1.311 -1.714 -1.196
S -2.011 0.650 1.273
Hf 0.000 0.000 0.000
```

***

HfZnS2Cl | PBE | optimized geometry

The space group is No. 123. As for the volume: 24.504 A^3/atom. The calculation puts the final energy at -4.988 eV/atom. The value obtained for the formation energy from raw total energies is -721.8 meV/atom. The relative energy among the computed polymorphs comes out at 0.000 eV/atom.

Geometry as extended XYZ:
```
5
Lattice="4.956 0.000 0.000 0.000 4.956 0.000 0.000 0.000 4.988" Properties=species:S:1:pos:R:3 pbc="T T T"
Hf 0.000 0.000 0.000
S 2.478 0.000 0.000
S 0.000 2.478 0.000
Zn 2.478 2.478 2.494
Cl 0.000 0.000 2.494
```

***

HfZnS2Cl | PBE | optimized geometry

The space group is No. 123. As for the volume: 19.874 A^3/atom. The calculation puts the final energy at -4.275 eV/atom. The value obtained for the formation energy from raw total energies is -9.5 meV/atom. The relative energy among the computed polymorphs comes out at 0.712 eV/atom.

Geometry as extended XYZ:
```
5
Lattice="-3.814 2.696 -0.621 -1.537 -1.184 4.294 2.186 3.494 1.746" Properties=species:S:1:pos:R:3 pbc="T T T"
Zn 0.000 0.000 0.000
Cl 1.093 1.747 0.873
S -0.768 -0.592 2.147
S -1.907 1.348 -0.311
Hf -1.582 2.503 2.709
```

***

HfZrS2Cl | PBE | optimized geometry

The space group is No. 123. As for the volume: 23.980 A^3/atom. The calculation puts the final energy at -6.023 eV/atom. The value obtained for the formation energy from raw total energies is -301.9 meV/atom. The relative energy among the computed polymorphs comes out at 0.232 eV/atom.

Geometry as extended XYZ:
```
5
Lattice="-4.891 0.204 0.884 -0.225 -4.969 -0.102 0.856 -0.136 4.767" Properties=species:S:1:pos:R:3 pbc="T T T"
S -0.113 -2.484 -0.051
S -2.446 0.102 0.442
Cl 0.428 -0.068 2.383
Hf -2.131 -2.451 2.775
Zr 0.000 0.000 0.000
```

***

HfZrS2Cl | PBE | optimized geometry

The space group is No. 123. As for the volume: 23.286 A^3/atom. The calculation puts the final energy at -6.255 eV/atom. The value obtained for the formation energy from raw total energies is -534.1 meV/atom. The relative energy among the computed polymorphs comes out at 0.000 eV/atom.

Geometry as extended XYZ:
```
5
Lattice="4.926 0.000 0.000 0.000 4.926 0.000 0.000 0.000 4.798" Properties=species:S:1:pos:R:3 pbc="T T T"
Hf 0.000 0.000 0.000
S 2.463 0.000 0.000
S 0.000 2.463 0.000
Cl 0.000 0.000 2.399
Zr 2.463 2.463 2.399
```

***

Hf2SbCl | PBE | optimized geometry

The space group is No. 225. As for the volume: 20.361 A^3/atom. The calculation puts the final energy at -6.870 eV/atom. The value obtained for the formation energy from raw total energies is -400.8 meV/atom. The relative energy among the computed polymorphs comes out at 0.000 eV/atom.

Geometry as extended XYZ:
```
4
Lattice="0.000 3.440 3.440 3.440 0.000 3.440 3.440 3.440 0.000" Properties=species:S:1:pos:R:3 pbc="T T T"
Hf 5.161 5.161 5.161
Hf 1.720 1.720 1.720
Sb 3.440 3.440 3.440
Cl 0.000 0.000 0.000
```

***

HfSbCl2 | PBE | optimized geometry

The space group is No. 225. As for the volume: 20.615 A^3/atom. The calculation puts the final energy at -4.443 eV/atom. The value obtained for the formation energy from raw total energies is -0.8 meV/atom. The relative energy among the computed polymorphs comes out at 0.874 eV/atom.

Geometry as extended XYZ:
```
4
Lattice="-0.706 -0.533 4.805 -4.526 0.148 1.835 -2.069 -4.074 1.728" Properties=species:S:1:pos:R:3 pbc="T T T"
Hf -3.651 -2.230 4.184
Cl -1.825 -1.115 2.092
Cl -5.476 -3.345 6.276
Sb 0.000 0.000 0.000
```

***

HfSb2Cl | PBE | optimized geometry

The space group is No. 122. As for the volume: 25.222 A^3/atom. The calculation puts the final energy at -4.962 eV/atom. The value obtained for the formation energy from raw total energies is 48.7 meV/atom. The relative energy among the computed polymorphs comes out at 0.000 eV/atom.

Geometry as extended XYZ:
```
8
Lattice="4.277 0.000 0.000 0.000 4.277 0.000 2.138 2.138 11.033" Properties=species:S:1:pos:R:3 pbc="T T T"
Sb 5.346 5.458 8.274
Sb 3.207 3.095 8.274
Sb 0.957 3.207 2.758
Sb 3.320 1.069 2.758
Hf 0.000 0.000 0.000
Hf 4.277 2.138 5.516
Cl 2.138 4.277 5.516
Cl 2.138 2.138 0.000
```

***

HfSbCl2 | PBE | optimized geometry

The space group is No. 122. As for the volume: 22.848 A^3/atom. The calculation puts the final energy at -4.873 eV/atom. The value obtained for the formation energy from raw total energies is -430.9 meV/atom. The relative energy among the computed polymorphs comes out at 0.444 eV/atom.

Geometry as extended XYZ:
```
8
Lattice="-2.561 3.267 1.520 -2.375 -2.933 2.303 3.265 1.262 9.218" Properties=species:S:1:pos:R:3 pbc="T T T"
Sb -0.789 -0.752 6.716
Sb -2.468 0.167 1.912
Cl 0.673 1.165 8.274
Cl -1.945 1.147 10.331
Cl -0.907 -1.212 3.886
Cl -1.162 2.094 3.590
Hf 0.000 0.000 0.000
Hf -0.882 2.349 6.325
```

***

HfSb2Cl | PBE | optimized geometry

The space group is No. 225. As for the volume: 23.965 A^3/atom. The calculation puts the final energy at -4.948 eV/atom. The value obtained for the formation energy from raw total energies is 62.7 meV/atom. The relative energy among the computed polymorphs comes out at 0.014 eV/atom.

Geometry as extended XYZ:
```
4
Lattice="0.000 3.632 3.632 3.632 0.000 3.632 3.632 3.632 0.000" Properties=species:S:1:pos:R:3 pbc="T T T"
Sb 1.816 1.816 1.816
Sb 5.449 5.449 5.449
Cl 0.000 0.000 0.000
Hf 3.632 3.632 3.632
```

***

HfSbCl2 | PBE | optimized geometry

The space group is No. 166. As for the volume: 28.119 A^3/atom. The calculation puts the final energy at -5.317 eV/atom. The value obtained for the formation energy from raw total energies is -874.9 meV/atom. The relative energy among the computed polymorphs comes out at 0.000 eV/atom.

Geometry as extended XYZ:
```
4
Lattice="1.864 0.000 12.458 -0.932 1.614 12.458 -0.932 -1.614 12.458" Properties=species:S:1:pos:R:3 pbc="T T T"
Sb 0.000 0.000 0.000
Hf 0.000 0.000 18.687
Cl 0.000 0.000 4.407
Cl 0.000 0.000 32.967
```

***

HfSbCl | PBE | optimized geometry

The space group is No. 2. As for the volume: 26.864 A^3/atom. The calculation puts the final energy at -6.112 eV/atom. The value obtained for the formation energy from raw total energies is -804.7 meV/atom.

Geometry as extended XYZ:
```
6
Lattice="3.258 -0.388 0.246 0.791 6.727 0.074 1.354 2.055 7.360" Properties=species:S:1:pos:R:3 pbc="T T T"
Sb 2.291 1.506 5.220
Sb 3.112 6.888 2.459
Hf 4.420 7.030 7.588
Hf 0.983 1.364 0.092
Cl 1.163 3.744 1.485
Cl 4.241 4.650 6.195
```

***

Hf2SbCl | PBE | optimized geometry

The space group is No. 122. As for the volume: 25.964 A^3/atom. The calculation puts the final energy at -6.414 eV/atom. The value obtained for the formation energy from raw total energies is 55.4 meV/atom. The relative energy among the computed polymorphs comes out at 0.456 eV/atom.

Geometry as extended XYZ:
```
8
Lattice="-1.497 -0.679 -4.726 -1.824 -4.496 1.223 -8.977 0.876 0.069" Properties=species:S:1:pos:R:3 pbc="T T T"
Cl -6.231 -3.103 -0.229
Cl -1.660 -2.587 -1.751
Hf -3.321 -0.728 -2.508
Hf -8.084 -1.545 -1.190
Hf -3.658 -2.715 -0.084
Hf -9.532 -3.609 -3.084
Sb 0.000 0.000 0.000
Sb -6.067 -1.195 -3.204
```

***

Hf2TaSbCl | PBE | optimized geometry

The space group is No. 123. As for the volume: 20.647 A^3/atom. The calculation puts the final energy at -7.167 eV/atom. The value obtained for the formation energy from raw total energies is 378.7 meV/atom.

Geometry as extended XYZ:
```
5
Lattice="-4.217 -2.250 0.026 1.243 -2.286 3.695 -1.826 3.455 2.752" Properties=species:S:1:pos:R:3 pbc="T T T"
Cl 0.000 0.000 0.000
Hf -2.108 -1.125 0.013
Hf -0.913 1.727 1.376
Ta 0.621 -1.143 1.847
Sb -2.400 -0.540 3.236
```

***

HfSbTe2Cl | PBE | optimized geometry

The space group is No. 123. As for the volume: 33.530 A^3/atom. The calculation puts the final energy at -4.506 eV/atom. The value obtained for the formation energy from raw total energies is -64.4 meV/atom. The relative energy among the computed polymorphs comes out at 0.000 eV/atom.

Geometry as extended XYZ:
```
5
Lattice="5.449 0.000 0.000 0.000 5.449 0.000 0.000 0.000 5.647" Properties=species:S:1:pos:R:3 pbc="T T T"
Sb 0.000 0.000 2.823
Cl 2.724 2.724 2.823
Hf 0.000 0.000 0.000
Te 2.724 0.000 0.000
Te 0.000 2.724 0.000
```

***

Number 1: magnetic moment 4.84 Bohr magnetons per cell. Number 2: magnetic moment 1.68 Bohr magnetons per cell. Number 3: magnetic moment 5.30 Bohr magnetons per cell. Number 4: magnetic moment 1.60 Bohr magnetons per cell. Number 5: magnetic moment 1.85 Bohr magnetons per cell. Number 6: magnetic moment 0.57 Bohr magnetons per cell. Number 7: magnetic moment 0.00 Bohr magnetons per cell. Number 8: magnetic moment 0.72 Bohr magnetons per cell. Number 9: magnetic moment 1.86 Bohr magnetons per cell. Number 10: magnetic moment 2.26 Bohr magnetons per cell. Number 11: magnetic moment 0.00 Bohr magnetons per cell. Number 12: magnetic moment 0.00 Bohr magnetons per cell. Number 13: magnetic moment 0.00 Bohr magnetons per cell. Number 14: magnetic moment 0.00 Bohr magnetons per cell. Number 15: magnetic moment 0.00 Bohr magnetons per cell. Number 16: magnetic moment 0.00 Bohr magnetons per cell. Number 17: magnetic moment 0.00 Bohr magnetons per cell. Number 18: magnetic moment 0.00 Bohr magnetons per cell. Number 19: magnetic moment 0.00 Bohr magnetons per cell. Number 20: magnetic moment 0.00 Bohr magnetons per cell.